This record from Alexandria describes crystalline AsSN at its relaxed geometry. The functional is PBE.

Summary:
Volume: 28.88 Å³ per atom
DOS(E_F): 0.01 states/eV/f.u.
Formation energy (no corrections): 795 meV/atom
Total magnetization: 1.00 μB/f.u.

a = 4.7903 Å, b = 4.8169 Å, c = 7.6204 Å
α = 84.88°, β = 85.68°, γ = 82.50°
Last column: nearest neighbours and their distance in Å.
Atoms (fractional coordinates):
As: 0.2086 0.4925 0.3893  1 N 1.96
As: 0.7914 0.5075 0.6107  1 N 1.96
S: 0.0218 0.2462 0.8288  1 N 1.66
S: 0.9782 0.7538 0.1712  1 N 1.66
N: 0.1541 0.8950 0.3137  1 S 1.66
N: 0.8459 0.1050 0.6863  1 S 1.66


This record from Alexandria describes crystalline AsSN3 at its relaxed geometry. The functional is PBE.

Summary:
Volume: 9.03 Å³ per atom
DOS(E_F): 3.00 states/eV/f.u.
Formation energy (no corrections): 1858 meV/atom
Total magnetization: 0.00 μB/f.u.

a = 3.5608 Å, b = 3.5608 Å, c = 3.5608 Å
α = 90.00°, β = 90.00°, γ = 90.00°
Last column: nearest neighbours and their distance in Å.
Atoms (fractional coordinates):
As: 0.0000 0.0000 0.0000  12 N 2.52
S: 0.5000 0.5000 0.5000  6 N 1.78
N: 0.0000 0.5000 0.5000  2 S 1.78
N: 0.5000 0.0000 0.5000  2 S 1.78
N: 0.5000 0.5000 0.0000  2 S 1.78


This record from Alexandria describes crystalline AsS2N2 at its relaxed geometry. The functional is PBE.

Summary:
Volume: 12.25 Å³ per atom
Distance to the lowest polymorph of the same formula: 13.8 kJ per mole of atoms
DOS(E_F): 2.43 states/eV/f.u.
Formation energy (no corrections): 1552 meV/atom
Total magnetization: 0.46 μB/f.u.

a = 3.6127 Å, b = 3.6127 Å, c = 4.6937 Å
α = 90.00°, β = 90.00°, γ = 90.00°
Last column: nearest neighbours and their distance in Å.
Atoms (fractional coordinates):
As: 0.0000 0.0000 0.0000  4 S 2.55
S: 0.5000 0.5000 0.0000  2 S 2.35, 4 As 2.55
S: 0.5000 0.5000 0.5000  4 N 1.81
N: 0.0000 0.5000 0.5000  2 S 1.81
N: 0.5000 0.0000 0.5000  2 S 1.81


This record from Alexandria describes crystalline AsS2N at its relaxed geometry. The functional is PBE.

Summary:
Volume: 14.34 Å³ per atom
Distance to the lowest polymorph of the same formula: 88.6 kJ per mole of atoms
DOS(E_F): 2.82 states/eV/f.u.
Formation energy (no corrections): 1580 meV/atom
Total magnetization: 1.02 μB/f.u.

a = 4.3288 Å, b = 4.3288 Å, c = 4.3288 Å
α = 60.00°, β = 60.00°, γ = 60.00°
Last column: nearest neighbours and their distance in Å.
Atoms (fractional coordinates):
As: 0.0000 0.0000 0.0000  8 S 2.65
S: 0.2500 0.2500 0.2500  4 N 2.65, 4 As 2.65
S: 0.7500 0.7500 0.7500  4 N 2.65, 4 As 2.65
N: 0.5000 0.5000 0.5000  8 S 2.65


This record from Alexandria describes crystalline AsS2N at its relaxed geometry. The functional is PBE.

Summary:
Volume: 19.22 Å³ per atom
Distance to the lowest polymorph of the same formula: 0.0 kJ per mole of atoms
DOS(E_F): 1.56 states/eV/f.u.
Formation energy (no corrections): 662 meV/atom
Total magnetization: 0.00 μB/f.u.

a = 6.9112 Å, b = 6.9112 Å, c = 6.9112 Å
α = 30.83°, β = 30.83°, γ = 30.83°
Last column: nearest neighbours and their distance in Å.
Atoms (fractional coordinates):
As: 0.0000 0.0000 0.0000  6 S 2.73
S: 0.4204 0.4204 0.4204  1 N 1.57
S: 0.5796 0.5796 0.5796  1 N 1.57
N: 0.5000 0.5000 0.5000  2 S 1.57


This record from Alexandria describes crystalline ScAsSN2 at its relaxed geometry. The functional is PBE.

Summary:
Volume: 17.38 Å³ per atom
Distance to the lowest polymorph of the same formula: 42.6 kJ per mole of atoms
DOS(E_F): 3.17 states/eV/f.u.
Formation energy (no corrections): 794 meV/atom
Total magnetization: 1.49 μB/f.u.

a = 4.1174 Å, b = 4.1174 Å, c = 5.1266 Å
α = 90.00°, β = 90.00°, γ = 90.00°
Last column: nearest neighbours and their distance in Å.
Atoms (fractional coordinates):
Sc: 0.0000 0.0000 0.0000  4 N 2.06
As: 0.5000 0.5000 0.5000  4 S 2.91
S: 0.0000 0.0000 0.5000  2 Sc 2.56
N: 0.0000 0.5000 0.0000  2 Sc 2.06
N: 0.5000 0.0000 0.0000  2 Sc 2.06